Density functional theory data (PBE) for a relaxed structure of Pr6PRu2Cl3.

Results
- total DFT energy (no corrections) (eV per atom) = -5.9391
- ρ (g/cm³) = 5.874

Lattice parameters (Å, degrees): 7.216 7.216 7.813 98.91 98.91 120.01
Sites, in units of the cell vectors:
1 Pr 0.932 0.588 0.792
2 Pr 0.724 0.724 0.207
3 Pr 0.068 0.412 0.208
4 Pr 0.588 0.932 0.792
5 Pr 0.276 0.276 0.793
6 Pr 0.412 0.068 0.208
7 P 0.000 0.000 0.000
8 Ru 0.333 0.667 0.000
9 Ru 0.667 0.333 0.000
10 Cl 0.163 0.837 0.500
11 Cl 0.837 0.163 0.500
12 Cl 0.500 0.500 0.500

---

Density functional theory data (PBE) for a relaxed structure of Pr6PS2Cl3.

Results
- total DFT energy (no corrections) (eV per atom) = -5.6765
- ρ (g/cm³) = 5.621

Lattice parameters (Å, degrees): 7.004 7.004 7.651 98.78 98.78 120.07
Sites, in units of the cell vectors:
1 Pr 0.928 0.595 0.786
2 Pr 0.737 0.737 0.212
3 Pr 0.072 0.405 0.214
4 Pr 0.595 0.928 0.786
5 Pr 0.263 0.263 0.788
6 Pr 0.405 0.072 0.214
7 P 0.000 0.000 0.000
8 S 0.333 0.667 0.000
9 S 0.667 0.333 0.000
10 Cl 0.162 0.838 0.500
11 Cl 0.838 0.162 0.500
12 Cl 0.500 0.500 0.500

---

Density functional theory data (PBE) for a relaxed structure of Pr4P2SCl.

Results
- total DFT energy (no corrections) (eV per atom) = -6.2162
- ρ (g/cm³) = 5.563

Lattice parameters (Å, degrees): 4.148 7.306 7.222 70.96 90.00 90.00
Sites, in units of the cell vectors:
1 Pr 0.000 0.774 0.732
2 Pr 0.000 0.226 0.268
3 Pr 0.500 0.767 0.255
4 Pr 0.500 0.233 0.745
5 P 0.000 0.000 0.000
6 P 0.500 0.000 0.500
7 S 0.000 0.500 0.500
8 Cl 0.500 0.500 0.000

---

Density functional theory data (PBE) for a relaxed structure of Pr4PSCl2.

Results
- total DFT energy (no corrections) (eV per atom) = -5.7137
- ρ (g/cm³) = 5.605

Lattice parameters (Å, degrees): 4.189 7.170 7.298 109.48 90.00 90.00
Sites, in units of the cell vectors:
1 Pr 0.500 0.238 0.214
2 Pr 0.500 0.762 0.786
3 Pr 0.000 0.262 0.784
4 Pr 0.000 0.738 0.216
5 P 0.500 0.500 0.000
6 S 0.000 0.000 0.000
7 Cl 0.500 0.000 0.500
8 Cl 0.000 0.500 0.500

---

Density functional theory data (PBE) for a relaxed structure of Pr8P3S4Cl.

Results
- total DFT energy (no corrections) (eV per atom) = -6.3726
- ρ (g/cm³) = 5.658

Lattice parameters (Å, degrees): 8.341 8.284 8.341 120.23 120.00 90.00
Sites, in units of the cell vectors:
1 Pr 0.261 0.755 0.994
2 Pr 0.261 0.755 0.522
3 Pr 0.252 0.258 0.505
4 Pr 0.733 0.755 0.994
5 Pr 0.267 0.245 0.006
6 Pr 0.748 0.742 0.495
7 Pr 0.739 0.245 0.478
8 Pr 0.739 0.245 0.006
9 P 0.500 0.500 0.000
10 P 0.500 0.500 0.500
11 P 0.000 0.500 0.500
12 S 0.500 0.000 0.000
13 S 0.500 0.000 0.500
14 S 0.000 0.000 0.000
15 S 0.000 0.000 0.500
16 Cl 0.000 0.500 0.000

---

Density functional theory data (PBE) for a relaxed structure of Pr4PS2Cl.

Results
- total DFT energy (no corrections) (eV per atom) = -6.1289
- ρ (g/cm³) = 5.690

Lattice parameters (Å, degrees): 4.155 7.148 7.236 70.51 90.00 90.00
Sites, in units of the cell vectors:
1 Pr 0.000 0.770 0.724
2 Pr 0.000 0.230 0.276
3 Pr 0.500 0.756 0.268
4 Pr 0.500 0.244 0.732
5 P 0.000 0.500 0.500
6 S 0.000 0.000 0.000
7 S 0.500 0.000 0.500
8 Cl 0.500 0.500 0.000

---

Density functional theory data (PBE) for a relaxed structure of Pr3SbPCl.

Results
- total DFT energy (no corrections) (eV per atom) = -5.5980
- ρ (g/cm³) = 5.728

Lattice parameters (Å, degrees): 4.367 8.635 9.663 103.57 90.00 90.00
Site moments in Bohr magnetons follow the coordinates.
Sites, in units of the cell vectors:
1 Pr 0.250 0.721 0.485  0.23
2 Pr 0.750 0.890 0.130  -0.01
3 Pr 0.750 0.431 0.148  0.06
4 Pr 0.750 0.279 0.515  0.23
5 Pr 0.250 0.569 0.852  0.06
6 Pr 0.250 0.110 0.870  -0.01
7 Sb 0.750 0.813 0.772  0.00
8 Sb 0.250 0.187 0.228  0.00
9 P 0.250 0.662 0.158  0.00
10 P 0.750 0.338 0.842  0.00
11 Cl 0.250 0.101 0.581  0.01
12 Cl 0.750 0.899 0.419  0.01

---

Density functional theory data (PBE) for a relaxed structure of Pr4PSe2Cl.

Results
- total DFT energy (no corrections) (eV per atom) = -5.8745
- ρ (g/cm³) = 6.105

Lattice parameters (Å, degrees): 4.194 7.369 7.330 108.89 90.00 90.00
Sites, in units of the cell vectors:
1 Pr 0.500 0.271 0.249
2 Pr 0.500 0.729 0.751
3 Pr 0.000 0.272 0.764
4 Pr 0.000 0.728 0.236
5 P 0.500 0.500 0.000
6 Se 0.500 0.000 0.500
7 Se 0.000 0.500 0.500
8 Cl 0.000 0.000 0.000

---

Density functional theory data (PBE) for a relaxed structure of Pr4PSeCl2.

Results
- total DFT energy (no corrections) (eV per atom) = -5.5759
- ρ (g/cm³) = 5.829

Lattice parameters (Å, degrees): 4.224 7.422 7.182 109.64 90.00 90.00
Sites, in units of the cell vectors:
1 Pr 0.500 0.259 0.227
2 Pr 0.500 0.741 0.773
3 Pr 0.000 0.274 0.779
4 Pr 0.000 0.726 0.221
5 P 0.500 0.500 0.000
6 Se 0.000 0.000 0.000
7 Cl 0.500 0.000 0.500
8 Cl 0.000 0.500 0.500

---

Density functional theory data (PBE) for a relaxed structure of Pr4P2SeCl.

Results
- total DFT energy (no corrections) (eV per atom) = -6.1113
- ρ (g/cm³) = 5.740

Lattice parameters (Å, degrees): 4.176 7.239 7.481 108.80 90.00 90.00
Sites, in units of the cell vectors:
1 Pr 0.500 0.267 0.281
2 Pr 0.500 0.733 0.719
3 Pr 0.000 0.248 0.723
4 Pr 0.000 0.752 0.277
5 P 0.500 0.000 0.500
6 P 0.000 0.500 0.500
7 Se 0.500 0.500 0.000
8 Cl 0.000 0.000 0.000

---

Density functional theory data (PBE) for a relaxed structure of Pr6P2Se3Cl.

Results
- total DFT energy (no corrections) (eV per atom) = -6.0454
- ρ (g/cm³) = 6.073

Lattice parameters (Å, degrees): 4.217 8.517 9.453 102.58 102.89 90.00
Sites, in units of the cell vectors:
1 Pr 0.326 0.894 0.652
2 Pr 0.672 0.574 0.343
3 Pr 0.674 0.106 0.348
4 Pr 0.008 0.267 0.017
5 Pr 0.992 0.733 0.983
6 Pr 0.328 0.426 0.657
7 P 0.833 0.666 0.666
8 P 0.167 0.334 0.334
9 Se 0.500 0.500 0.000
10 Se 0.839 0.164 0.677
11 Se 0.161 0.836 0.323
12 Cl 0.500 0.000 0.000

---

Density functional theory data (PBE) for a relaxed structure of Pr8P3SeCl4.

Results
- total DFT energy (no corrections) (eV per atom) = -5.7001
- ρ (g/cm³) = 5.632

Lattice parameters (Å, degrees): 8.421 8.455 8.423 119.88 119.99 90.00
Sites, in units of the cell vectors:
1 Pr 0.247 0.719 0.972
2 Pr 0.247 0.719 0.494
3 Pr 0.261 0.284 0.523
4 Pr 0.725 0.719 0.972
5 Pr 0.275 0.281 0.028
6 Pr 0.739 0.716 0.477
7 Pr 0.753 0.281 0.506
8 Pr 0.753 0.281 0.028
9 P 0.500 0.500 0.000
10 P 0.500 0.500 0.500
11 P 0.000 0.500 0.500
12 Se 0.000 0.500 0.000
13 Cl 0.500 0.000 0.000
14 Cl 0.500 0.000 0.500
15 Cl 0.000 0.000 0.000
16 Cl 0.000 0.000 0.500

---

- What is the ρ in the eighth record?
  6.105 g/cm³